Computed, not measured: a relaxed Ac2LaSm3As6 crystal at the PBE level of DFT.

Calculated values
The formation energy is -1.50 eV per atom. For the total magnetic moment, the calculation gives 0.000 μB/f.u. The calculated volume comes out at 29.2 Å³/atom.

a = 9.7411 Å, b = 9.7411 Å, c = 8.7171 Å
α = 103.00°, β = 103.00°, γ = 25.84°
Fractional coordinates of all 12 atoms:
Ac  0.1659  0.1659  0.3321
Ac  0.8341  0.8341  0.6679
La  0.5000  0.5000  0.0000
Sm  0.1666  0.1666  0.8342
Sm  0.5000  0.5000  0.5000
Sm  0.8334  0.8334  0.1658
As  0.0041  0.0041  0.7476
As  0.3320  0.3320  0.9277
As  0.3373  0.3373  0.4068
As  0.6627  0.6627  0.5932
As  0.6680  0.6680  0.0723
As  0.9959  0.9959  0.2524

=====

Computed, not measured: a relaxed AcLa2Sm3As6 crystal at the PBE level of DFT.

Calculated values
The formation energy is -1.52 eV per atom. For the total magnetic moment, the calculation gives 0.000 μB/f.u. The calculated volume comes out at 28.6 Å³/atom.

a = 9.6738 Å, b = 9.6738 Å, c = 8.6563 Å
α = 102.97°, β = 102.97°, γ = 25.85°
Fractional coordinates of all 12 atoms:
Ac  0.0000  0.0000  0.0000
La  0.3324  0.3324  0.6656
La  0.6676  0.6676  0.3343
Sm  0.0000  0.0000  0.5000
Sm  0.3333  0.3333  0.1680
Sm  0.6667  0.6667  0.8320
As  0.1651  0.1651  0.5869
As  0.1709  0.1709  0.0803
As  0.4986  0.4986  0.2614
As  0.5014  0.5014  0.7386
As  0.8291  0.8291  0.9197
As  0.8349  0.8349  0.4131

=====

Computed, not measured: a relaxed SrAc2LaAs4 crystal at the PBE level of DFT.

Calculated values
The formation energy is -1.34 eV per atom. For the total magnetic moment, the calculation gives 0.000 μB/f.u. The calculated volume comes out at 32.1 Å³/atom.

a = 7.7634 Å, b = 4.5004 Å, c = 7.7984 Å
α = 90.00°, β = 109.59°, γ = 90.00°
Fractional coordinates of all 8 atoms:
Sr  0.0000  0.0000  0.0000
Ac  0.5000  0.0000  0.5000
Ac  0.5000  0.5000  0.0000
La  0.0000  0.5000  0.5000
As  0.2440  0.0000  0.7424
As  0.2486  0.5000  0.2559
As  0.7514  0.5000  0.7441
As  0.7560  0.0000  0.2576